## Pr3Tc2N6 (PBE)

Data for Pr3Tc2N6 after structural relaxation.

abc: 3.943 3.943 19.822
angles: 90.00 90.00 90.00
Space group I4/mmm (No. 139)
Symmetry-distinct sites (fractional):
Pr (0.000, 0.000, 0.000) x2
Pr (0.000, 0.000, 0.183) x4
Tc (0.000, 0.000, 0.406) x4
N (0.000, 0.000, 0.303) x4
N (0.000, 0.500, 0.087) x8

Results
- Calculated volume: 308.1 Å³/cell
- Calculated total energy: -187.4 eV per cell
- Raw formation energy: -0.79 eV/atom
- Crystal system: tetragonal